The following is a GGA-PBE calculation of crystalline LaPt2 at its relaxed geometry, from Alexandria.

```
LaPt2
1.0
1.948 -10.094 0.000
1.948 10.094 0.000
0.000 0.000 3.965
La Pt
2 4
direct
0.158 0.842 0.750 La
0.842 0.158 0.250 La
0.059 0.941 0.250 Pt
0.449 0.551 0.250 Pt
0.551 0.449 0.750 Pt
0.941 0.059 0.750 Pt
```

DOS at the Fermi energy, states/eV/atom: 0.4937
Total energy, eV per atom: -6.180
Formation enthalpy at 0 K, eV per atom: -0.510